# PBE-GGA K2CdF6, relaxed
# E in eV/atom: -3.539
# E_form (uncorrected) in eV/atom: -1.95
# Total magnetic moment in μB/atom: 0.224
data_K2CdF6
_cell_length_a 6.0008
_cell_length_b 7.8673
_cell_length_c 7.9173
_cell_angle_alpha 90.00
_cell_angle_beta 118.28
_cell_angle_gamma 90.00
_symmetry_space_group_name_H-M 'P 1 21/c 1'
_symmetry_Int_Tables_number 14
_symmetry_space_group_name_Hall '-P 2ybc'
loop_
_atom_site_label
_atom_site_fract_x
_atom_site_fract_y
_atom_site_fract_z
_atom_site_occupancy
K1 0.1816 0.0683 0.3136 1
Cd1 0.5000 0.0000 0.0000 1
F1 0.1755 0.1273 0.9692 1
F2 0.2956 0.7291 0.4388 1
F3 0.3675 0.0356 0.7051 1